Entry 1:
Entry from Alexandria via LeMat-Bulk: AcPa2S8 after structural relaxation (GGA-PBE).

abc: 5.0907 7.3414 7.3414
angles: 112.40 93.63 93.63
Last column: nearest neighbours and their distance in Å.
Atoms (fractional coordinates):
S 0.5000 0.7523 0.2477  2 Pa 2.63
S 0.3417 0.5727 0.5727  1 S 2.11
S 0.0461 0.3191 0.0787  2 Pa 2.67-2.75, 1 S 2.93
S 0.5000 0.2477 0.7523  2 Pa 2.63
S 0.9539 0.9213 0.6809  2 Pa 2.67-2.75, 1 S 2.93
S 0.0461 0.0787 0.3191  2 Pa 2.67-2.75, 1 S 2.93
S 0.6583 0.4273 0.4273  1 S 2.11
S 0.9539 0.6809 0.9213  2 Pa 2.67-2.75, 1 S 2.93
Pa 0.0000 0.3024 0.6976  6 S 2.63-2.75
Pa 0.0000 0.6976 0.3024  6 S 2.63-2.75
Ac 0.5000 0.0000 0.0000  6 S 3.02-3.31

**Total magnetization**: 0.000 μB per formula unit
**Final energy**: -0.23908 hartree per atom
**N(E_F)**: 0.41 states/eV per atom
**SG**: C2/m (12)
**Raw formation energy**: -1.404 eV/atom

---

Entry 2:
Entry from Alexandria via LeMat-Bulk: AcPaS4 after structural relaxation (GGA-PBE).

abc: 6.6432 6.6429 8.3037
angles: 113.43 113.59 90.00
Last column: nearest neighbours and their distance in Å.
Atoms (fractional coordinates):
Ac 0.2500 0.2500 0.0000  8 S 3.01
Ac 0.7500 0.7500 0.0000  8 S 3.01
S 0.3630 0.3630 0.7252  2 Pa 2.81, 2 Ac 3.01, 1 S 3.09
S 0.1376 0.6368 0.2748  2 Pa 2.81, 2 Ac 3.01, 1 S 3.09
S 0.8628 0.8632 0.7253  2 Pa 2.81-2.82, 2 Ac 3.01, 1 S 3.09
S 0.8624 0.3632 0.7252  2 Pa 2.81, 2 Ac 3.01, 1 S 3.09
S 0.1372 0.1368 0.2747  2 Pa 2.81-2.82, 2 Ac 3.01, 1 S 3.09
S 0.6378 0.1370 0.2749  2 Pa 2.81, 2 Ac 3.01, 1 S 3.09
S 0.3622 0.8630 0.7251  2 Pa 2.81, 2 Ac 3.01, 1 S 3.09
S 0.6370 0.6370 0.2748  2 Pa 2.81, 2 Ac 3.01, 1 S 3.09
Pa 0.5000 0.0000 0.5000  8 S 2.81
Pa 0.0000 0.5000 0.5000  8 S 2.81-2.82

**Total magnetization**: 0.000 μB per formula unit
**Final energy**: -0.25115 hartree per atom
**SG**: C2/m (12)
**Polymorph energy (0 for the lowest one)**: 0 meV/atom
**Raw formation energy**: -1.815 eV/atom

---

Entry 3:
Entry from Alexandria via LeMat-Bulk: AcPa3S8 after structural relaxation (GGA-PBE).

abc: 8.1045 8.1045 8.6159
angles: 61.94 61.94 60.00
Last column: nearest neighbours and their distance in Å.
Atoms (fractional coordinates):
Ac 0.5000 0.5000 0.5000  6 S 3.00
S 0.7053 0.2513 0.7921  2 Pa 2.70, 1 Ac 3.00
S 0.2947 0.7487 0.2079  2 Pa 2.70, 1 Ac 3.00
S 0.2690 0.2690 0.1931  3 Pa 2.72
S 0.2513 0.7053 0.7921  2 Pa 2.70, 1 Ac 3.00
S 0.7310 0.7310 0.8069  3 Pa 2.72
S 0.7487 0.2947 0.2079  2 Pa 2.70, 1 Ac 3.00
S 0.2513 0.2513 0.7921  2 Pa 2.70, 1 Ac 3.00
S 0.7487 0.7487 0.2079  2 Pa 2.70, 1 Ac 3.00
Pa 0.0000 0.5000 0.0000  6 S 2.70-2.72
Pa 0.5000 0.0000 0.0000  6 S 2.70-2.72
Pa 0.5000 0.5000 0.0000  6 S 2.70-2.72

**Total magnetization**: 2.051 μB per formula unit
**Final energy**: -0.26179 hartree per atom
**N(E_F)**: 0.88 states/eV per atom
**SG**: R-3m (166)
**Raw formation energy**: -1.656 eV/atom

---

Look up the raw formation energy of the first one. -1.404 eV/atom

---

raw formation energy of number 3 (AcPa3S8)? -1.656 eV/atom

---

What is the final energy in the third record? -0.26179 hartree per atom